(1)
K2CuF4 at its PBEsol-relaxed geometry, computed with meta-GGA SCAN.

Output
* V: 421.7 Å³ per cell
* formation energy from raw total energies: -2539 meV per atom
* SG: I4_1/acd (142)
* electronic total energy: -9.11 eV per atom
* polymorph energy (0 for the lowest one): 0.000 eV per atom

a = 13.3473 Å, b = 13.3473 Å, c = 13.3473 Å
α = 155.08°, β = 155.08°, γ = 35.54°
Fractional coordinates of all 28 atoms:
K: 0.0538 0.8038 0.2500
K: 0.1962 0.9462 0.2500
K: 0.3038 0.5538 0.7500
K: 0.4462 0.6962 0.7500
K: 0.5538 0.3038 0.2500
K: 0.6962 0.4462 0.2500
K: 0.8038 0.0538 0.7500
K: 0.9462 0.1962 0.7500
Cu: 0.1250 0.3750 0.7500
Cu: 0.3750 0.1250 0.2500
Cu: 0.6250 0.8750 0.7500
Cu: 0.8750 0.6250 0.2500
F: 0.0480 0.2980 0.7500
F: 0.1127 0.8627 0.7254
F: 0.1373 0.3627 0.2500
F: 0.2020 0.4520 0.7500
F: 0.2980 0.0480 0.2500
F: 0.3627 0.6127 0.2254
F: 0.3873 0.1127 0.7500
F: 0.4520 0.2020 0.2500
F: 0.5480 0.7980 0.7500
F: 0.6127 0.8873 0.2500
F: 0.6373 0.3873 0.7746
F: 0.7020 0.9520 0.7500
F: 0.7980 0.5480 0.2500
F: 0.8627 0.6373 0.7500
F: 0.8873 0.1373 0.2746
F: 0.9520 0.7020 0.2500

=====

(2)
Rb2PO3F at its PBEsol-relaxed geometry, computed with meta-GGA SCAN.

Output
* V: 502.8 Å³ per cell
* formation energy from raw total energies: -2632 meV per atom
* SG: Pnma (62)
* electronic total energy: -13.22 eV per atom

a = 7.8804 Å, b = 6.1007 Å, c = 10.4580 Å
α = 90.00°, β = 90.00°, γ = 90.00°
Fractional coordinates of all 28 atoms:
Rb: 0.0055 0.2500 0.2167
Rb: 0.1724 0.2500 0.5778
Rb: 0.3276 0.7500 0.0778
Rb: 0.4945 0.7500 0.7167
Rb: 0.5055 0.2500 0.2833
Rb: 0.6724 0.2500 0.9222
Rb: 0.8276 0.7500 0.4222
Rb: 0.9945 0.7500 0.7833
P: 0.2421 0.2500 0.9146
P: 0.2579 0.7500 0.4146
P: 0.7421 0.2500 0.5854
P: 0.7579 0.7500 0.0854
O: 0.1891 0.7500 0.5505
O: 0.2274 0.5398 0.3405
O: 0.2274 0.9602 0.3405
O: 0.2726 0.0398 0.8405
O: 0.2726 0.4602 0.8405
O: 0.3109 0.2500 0.0505
O: 0.6891 0.7500 0.9495
O: 0.7274 0.5398 0.1595
O: 0.7274 0.9602 0.1595
O: 0.7726 0.0398 0.6595
O: 0.7726 0.4602 0.6595
O: 0.8109 0.2500 0.4495
F: 0.0330 0.2500 0.9355
F: 0.4670 0.7500 0.4355
F: 0.5330 0.2500 0.5645
F: 0.9670 0.7500 0.0645

=====

(3)
La2HfPbW at its PBEsol-relaxed geometry, computed with meta-GGA SCAN.

Output
* V: 180.9 Å³ per cell
* SG: P4/mmm (123)
* electronic total energy: -57.38 eV per atom
* formation energy: 1.49 eV per atom

a = 5.8774 Å, b = 5.8774 Å, c = 5.2376 Å
α = 90.00°, β = 90.00°, γ = 90.00°
Fractional coordinates of all 5 atoms:
La: 0.0000 0.5000 0.0000
La: 0.5000 0.0000 0.0000
Hf: 0.0000 0.0000 0.5000
Pb: 0.0000 0.0000 0.0000
W: 0.5000 0.5000 0.5000

=====

(4)
Fe2Rh at its PBEsol-relaxed geometry, computed with meta-GGA SCAN.

Output
* V: 69.9 Å³ per cell
* SG: Fd-3m (227)
* electronic total energy: -23.33 eV per atom
* formation energy: 0.02 eV per atom

a = 4.6231 Å, b = 4.6231 Å, c = 4.6231 Å
α = 60.00°, β = 60.00°, γ = 60.00°
Fractional coordinates of all 6 atoms:
Fe: 0.0000 0.0000 0.0000
Fe: 0.0000 0.0000 0.5000
Fe: 0.0000 0.5000 0.0000
Fe: 0.5000 0.0000 0.0000
Rh: 0.3750 0.3750 0.3750
Rh: 0.6250 0.6250 0.6250

=====

(5)
Ni3Rh2 at its PBEsol-relaxed geometry, computed with meta-GGA SCAN.

Output
* V: 58.4 Å³ per cell
* SG: I4/mmm (139)
* electronic total energy: -23.17 eV per atom
* formation energy: 0.04 eV per atom
* polymorph energy (0 for the lowest one): 0.016 eV per atom

a = 8.8897 Å, b = 8.8897 Å, c = 8.8897 Å
α = 163.24°, β = 163.24°, γ = 23.78°
Fractional coordinates of all 5 atoms:
Ni: 0.0000 0.0000 0.0000
Ni: 0.2034 0.2034 0.0000
Ni: 0.7966 0.7966 0.0000
Rh: 0.3982 0.3982 0.0000
Rh: 0.6018 0.6018 0.0000

=====

(6)
CsNa2Ge2 at its PBEsol-relaxed geometry, computed with meta-GGA SCAN.

Output
* V: 152.6 Å³ per cell
* SG: I4/mmm (139)
* electronic total energy: -16.99 eV per atom
* formation energy: -0.11 eV per atom

a = 6.3501 Å, b = 6.3501 Å, c = 6.3501 Å
α = 128.48°, β = 128.48°, γ = 75.84°
Fractional coordinates of all 5 atoms:
Cs: 0.0000 0.0000 0.0000
Na: 0.2500 0.7500 0.5000
Na: 0.7500 0.2500 0.5000
Ge: 0.3855 0.3855 0.0000
Ge: 0.6145 0.6145 0.0000

=====

(7)
Re2NiOs at its PBEsol-relaxed geometry, computed with meta-GGA SCAN.

Output
* V: 55.4 Å³ per cell
* SG: Cmm2 (35)
* electronic total energy: -57.15 eV per atom
* formation energy: 0.42 eV per atom
* polymorph energy (0 for the lowest one): 0.485 eV per atom

a = 2.6444 Å, b = 2.6444 Å, c = 8.7792 Å
α = 90.00°, β = 90.00°, γ = 115.61°
Fractional coordinates of all 4 atoms:
Re: 0.0000 0.0000 0.0000
Re: 0.5000 0.5000 0.2598
Ni: 0.0000 0.0000 0.4985
Os: 0.5000 0.5000 0.7425

=====

(8)
GdIn2Cl5 at its PBEsol-relaxed geometry, computed with meta-GGA SCAN.

Output
* V: 839.1 Å³ per cell
* formation energy from raw total energies: -1711 meV per atom
* SG: Pnma (62)
* electronic total energy: -22.40 eV per atom

a = 12.4299 Å, b = 8.4901 Å, c = 7.9516 Å
α = 90.00°, β = 90.00°, γ = 90.00°
Fractional coordinates of all 32 atoms:
Gd: 0.0055 0.2500 0.0753
Gd: 0.4945 0.7500 0.5753
Gd: 0.5055 0.2500 0.4247
Gd: 0.9945 0.7500 0.9247
In: 0.1707 0.0104 0.5675
In: 0.1707 0.4896 0.5675
In: 0.3293 0.5104 0.0675
In: 0.3293 0.9896 0.0675
In: 0.6707 0.0104 0.9325
In: 0.6707 0.4896 0.9325
In: 0.8293 0.5104 0.4325
In: 0.8293 0.9896 0.4325
Cl: 0.0048 0.2500 0.4180
Cl: 0.0698 0.5462 0.1692
Cl: 0.0698 0.9538 0.1692
Cl: 0.1886 0.2500 0.8989
Cl: 0.2047 0.7500 0.8464
Cl: 0.2953 0.2500 0.3464
Cl: 0.3114 0.7500 0.3989
Cl: 0.4302 0.0462 0.6692
Cl: 0.4302 0.4538 0.6692
Cl: 0.4952 0.7500 0.9180
Cl: 0.5048 0.2500 0.0820
Cl: 0.5698 0.5462 0.3308
Cl: 0.5698 0.9538 0.3308
Cl: 0.6886 0.2500 0.6011
Cl: 0.7047 0.7500 0.6536
Cl: 0.7953 0.2500 0.1536
Cl: 0.8114 0.7500 0.1011
Cl: 0.9302 0.0462 0.8308
Cl: 0.9302 0.4538 0.8308
Cl: 0.9952 0.7500 0.5820

=====

(9)
CsHgBr3 at its PBEsol-relaxed geometry, computed with meta-GGA SCAN.

Output
* V: 1078.1 Å³ per cell
* formation energy from raw total energies: -1118 meV per atom
* SG: C2/c (15)
* electronic total energy: -33.99 eV per atom

a = 12.3694 Å, b = 12.3694 Å, c = 14.2649 Å
α = 123.24°, β = 123.24°, γ = 37.27°
Fractional coordinates of all 30 atoms:
Cs: 0.0000 0.5000 0.0000
Cs: 0.1362 0.6845 0.8179
Cs: 0.3155 0.8638 0.6821
Cs: 0.5000 0.0000 0.5000
Cs: 0.6845 0.1362 0.3179
Cs: 0.8638 0.3155 0.1821
Hg: 0.0785 0.5940 0.4217
Hg: 0.2529 0.7471 0.2500
Hg: 0.4060 0.9215 0.0783
Hg: 0.5940 0.0785 0.9217
Hg: 0.7471 0.2529 0.7500
Hg: 0.9215 0.4060 0.5783
Br: 0.0000 0.5000 0.5000
Br: 0.0574 0.0945 0.9338
Br: 0.0945 0.0574 0.4338
Br: 0.1831 0.3097 0.7553
Br: 0.2069 0.6081 0.2857
Br: 0.3097 0.1831 0.2553
Br: 0.3919 0.7931 0.2143
Br: 0.4006 0.4348 0.5428
Br: 0.4348 0.4006 0.0428
Br: 0.5000 0.0000 0.0000
Br: 0.5652 0.5994 0.9572
Br: 0.5994 0.5652 0.4572
Br: 0.6081 0.2069 0.7857
Br: 0.6903 0.8169 0.7447
Br: 0.7931 0.3919 0.7143
Br: 0.8169 0.6903 0.2447
Br: 0.9055 0.9426 0.5662
Br: 0.9426 0.9055 0.0662

=====

(10)
ScGaOs2C at its PBEsol-relaxed geometry, computed with meta-GGA SCAN.

Output
* V: 94.3 Å³ per cell
* SG: P4/mmm (123)
* electronic total energy: -34.51 eV per atom
* formation energy: 2.38 eV per atom

a = 4.4390 Å, b = 4.4390 Å, c = 4.7867 Å
α = 90.00°, β = 90.00°, γ = 90.00°
Fractional coordinates of all 5 atoms:
Sc: 0.0000 0.0000 0.0000
Ga: 0.0000 0.0000 0.5000
Os: 0.0000 0.5000 0.5000
Os: 0.5000 0.0000 0.5000
C: 0.5000 0.5000 0.0000

=====

(11)
K14Tl21Cd9 at its PBEsol-relaxed geometry, computed with meta-GGA SCAN.

Output
* V: 1432.7 Å³ per cell
* SG: P-62m (189)
* electronic total energy: -43.63 eV per atom
* formation energy: -0.22 eV per atom

a = 9.8504 Å, b = 9.8504 Å, c = 17.0497 Å
α = 90.00°, β = 90.00°, γ = 120.00°
Fractional coordinates of all 44 atoms:
K: 0.0000 0.3875 0.1854
K: 0.0000 0.3875 0.8146
K: 0.0000 0.7500 0.3216
K: 0.0000 0.7500 0.6784
K: 0.2500 0.2500 0.3216
K: 0.2500 0.2500 0.6784
K: 0.3333 0.6667 0.0000
K: 0.3875 0.0000 0.1854
K: 0.3875 0.0000 0.8146
K: 0.6125 0.6125 0.1854
K: 0.6125 0.6125 0.8146
K: 0.6667 0.3333 0.0000
K: 0.7500 0.0000 0.3216
K: 0.7500 0.0000 0.6784
Tl: 0.0000 0.0000 0.1521
Tl: 0.0000 0.0000 0.8479
Tl: 0.0000 0.2223 0.0000
Tl: 0.0000 0.4001 0.3911
Tl: 0.0000 0.4001 0.6089
Tl: 0.0000 0.7035 0.0941
Tl: 0.0000 0.7035 0.9059
Tl: 0.2223 0.0000 0.0000
Tl: 0.2965 0.2965 0.0941
Tl: 0.2965 0.2965 0.9059
Tl: 0.3333 0.6667 0.3347
Tl: 0.3333 0.6667 0.6653
Tl: 0.4001 0.0000 0.3911
Tl: 0.4001 0.0000 0.6089
Tl: 0.5999 0.5999 0.3911
Tl: 0.5999 0.5999 0.6089
Tl: 0.6667 0.3333 0.3347
Tl: 0.6667 0.3333 0.6653
Tl: 0.7035 0.0000 0.0941
Tl: 0.7035 0.0000 0.9059
Tl: 0.7777 0.7777 0.0000
Cd: 0.0000 0.1651 0.5000
Cd: 0.1651 0.0000 0.5000
Cd: 0.1728 0.7005 0.5000
Cd: 0.2995 0.4722 0.5000
Cd: 0.4722 0.2995 0.5000
Cd: 0.5278 0.8272 0.5000
Cd: 0.7005 0.1728 0.5000
Cd: 0.8272 0.5278 0.5000
Cd: 0.8349 0.8349 0.5000

=====

(12)
Sc3SnGe at its PBEsol-relaxed geometry, computed with meta-GGA SCAN.

Output
* V: 121.7 Å³ per cell
* SG: Pm-3m (221)
* electronic total energy: -20.02 eV per atom
* formation energy: -0.48 eV per atom

a = 4.9550 Å, b = 4.9550 Å, c = 4.9550 Å
α = 90.00°, β = 90.00°, γ = 90.00°
Fractional coordinates of all 5 atoms:
Sc: 0.0000 0.0000 0.5000
Sc: 0.0000 0.5000 0.0000
Sc: 0.5000 0.0000 0.0000
Sn: 0.5000 0.5000 0.5000
Ge: 0.0000 0.0000 0.0000

=====

(13)
CaSnPd3 at its PBEsol-relaxed geometry, computed with meta-GGA SCAN.

Output
* V: 117.8 Å³ per cell
* SG: Pm-3m (221)
* electronic total energy: -28.91 eV per atom
* formation energy: -0.13 eV per atom

a = 4.9026 Å, b = 4.9026 Å, c = 4.9026 Å
α = 90.00°, β = 90.00°, γ = 90.00°
Fractional coordinates of all 5 atoms:
Ca: 0.0000 0.0000 0.0000
Sn: 0.5000 0.5000 0.5000
Pd: 0.0000 0.5000 0.5000
Pd: 0.5000 0.0000 0.5000
Pd: 0.5000 0.5000 0.0000

=====

(14)
Zr3CuO at its PBEsol-relaxed geometry, computed with meta-GGA SCAN.

Output
* V: 110.5 Å³ per cell
* formation energy from raw total energies: 778 meV per atom
* SG: Pm-3m (221)
* electronic total energy: -21.93 eV per atom

a = 4.7980 Å, b = 4.7980 Å, c = 4.7980 Å
α = 90.00°, β = 90.00°, γ = 90.00°
Fractional coordinates of all 5 atoms:
Zr: 0.0000 0.0000 0.5000
Zr: 0.0000 0.5000 0.0000
Zr: 0.5000 0.0000 0.0000
Cu: 0.0000 0.0000 0.0000
O: 0.5000 0.5000 0.5000

=====

(15)
KCrMo2 at its PBEsol-relaxed geometry, computed with meta-GGA SCAN.

Output
* V: 82.8 Å³ per cell
* SG: P4mm (99)
* electronic total energy: -23.30 eV per atom
* formation energy: 0.82 eV per atom
* polymorph energy (0 for the lowest one): 0.000 eV per atom

a = 3.1028 Å, b = 3.1028 Å, c = 8.6029 Å
α = 90.00°, β = 90.00°, γ = 90.00°
Fractional coordinates of all 4 atoms:
K: 0.0000 0.0000 0.0000
Cr: 0.5000 0.5000 0.6714
Mo: 0.0000 0.0000 0.5179
Mo: 0.5000 0.5000 0.3525

=====

(16)
ZnMo at its PBEsol-relaxed geometry, computed with meta-GGA SCAN.

Output
* V: 63.1 Å³ per cell
* SG: P6_3/mmc (194)
* electronic total energy: -23.35 eV per atom
* formation energy: 0.86 eV per atom
* polymorph energy (0 for the lowest one): 0.828 eV per atom

a = 3.7569 Å, b = 3.7569 Å, c = 5.1623 Å
α = 90.00°, β = 90.00°, γ = 120.00°
Fractional coordinates of all 4 atoms:
Zn: 0.0000 0.0000 0.0000
Zn: 0.0000 0.0000 0.5000
Mo: 0.3333 0.6667 0.2500
Mo: 0.6667 0.3333 0.7500

=====

(17)
SrLi4Ca at its PBEsol-relaxed geometry, computed with meta-GGA SCAN.

Output
* V: 174.8 Å³ per cell
* SG: F-43m (216)
* electronic total energy: -6.93 eV per atom
* formation energy: -0.01 eV per atom

a = 6.2758 Å, b = 6.2758 Å, c = 6.2758 Å
α = 60.00°, β = 60.00°, γ = 60.00°
Fractional coordinates of all 6 atoms:
Sr: 0.0000 0.0000 0.0000
Li: 0.1285 0.6238 0.6238
Li: 0.6238 0.1285 0.6238
Li: 0.6238 0.6238 0.1285
Li: 0.6238 0.6238 0.6238
Ca: 0.2500 0.2500 0.2500

=====

(18)
CrSiH12O6F6 at its PBEsol-relaxed geometry, computed with meta-GGA SCAN.

Output
* V: 246.2 Å³ per cell
* SG: R-3 (148)
* electronic total energy: -6.63 eV per atom

a = 6.3116 Å, b = 6.3116 Å, c = 6.3116 Å
α = 96.47°, β = 96.47°, γ = 96.47°
Fractional coordinates of all 26 atoms:
Cr: 0.0000 0.0000 0.0000
Si: 0.5000 0.5000 0.5000
H: 0.0617 0.4142 0.2012
H: 0.1845 0.6777 0.7879
H: 0.2012 0.0617 0.4142
H: 0.2121 0.8155 0.3223
H: 0.3223 0.2121 0.8155
H: 0.4142 0.2012 0.0617
H: 0.5858 0.7988 0.9383
H: 0.6777 0.7879 0.1845
H: 0.7879 0.1845 0.6777
H: 0.7988 0.9383 0.5858
H: 0.8155 0.3223 0.2121
H: 0.9383 0.5858 0.7988
O: 0.0604 0.6913 0.8686
O: 0.1314 0.9396 0.3087
O: 0.3087 0.1314 0.9396
O: 0.6913 0.8686 0.0604
O: 0.8686 0.0604 0.6913
O: 0.9396 0.3087 0.1314
F: 0.3009 0.5683 0.3236
F: 0.3236 0.3009 0.5683
F: 0.4317 0.6764 0.6991
F: 0.5683 0.3236 0.3009
F: 0.6764 0.6991 0.4317
F: 0.6991 0.4317 0.6764

=====

(19)
KHg2Sb2 at its PBEsol-relaxed geometry, computed with meta-GGA SCAN.

Output
* V: 145.9 Å³ per cell
* formation energy from raw total energies: -221 meV per atom
* SG: I4/mmm (139)
* electronic total energy: -44.06 eV per atom

a = 7.1197 Å, b = 7.1197 Å, c = 7.1197 Å
α = 140.32°, β = 140.32°, γ = 57.36°
Fractional coordinates of all 5 atoms:
K: 0.0000 0.0000 0.0000
Hg: 0.3914 0.3914 0.0000
Hg: 0.6086 0.6086 0.0000
Sb: 0.2500 0.7500 0.5000
Sb: 0.7500 0.2500 0.5000

=====

(20)
CaMgW2 at its PBEsol-relaxed geometry, computed with meta-GGA SCAN.

Output
* V: 72.9 Å³ per cell
* SG: R-3m (166)
* electronic total energy: -37.62 eV per atom
* formation energy: 0.88 eV per atom

a = 10.3622 Å, b = 10.3622 Å, c = 10.3622 Å
α = 15.92°, β = 15.92°, γ = 15.92°
Fractional coordinates of all 4 atoms:
Ca: 0.0000 0.0000 0.0000
Mg: 0.5000 0.5000 0.5000
W: 0.2457 0.2457 0.2457
W: 0.7543 0.7543 0.7543